{"formula": "Mg2AsIr", "functional": "GGA-PBE", "state": "relaxed", "cell": [[5.156, -1.515, 0.000], [5.156, 1.515, 0.000], [-1.300, 0.000, 4.531]], "species": ["Mg", "Mg", "As", "Ir"], "frac_coords": [[0.000, 0.000, 0.000], [0.199, 0.199, 0.642], [0.426, 0.426, 0.442], [0.743, 0.743, 0.152]]}

***

{"formula": "Mg2AsIr", "functional": "GGA-PBE", "state": "relaxed", "cell": [[3.096, 0.000, 0.000], [0.000, 3.956, 0.000], [0.000, 0.000, 5.601]], "species": ["Mg", "Mg", "As", "Ir"], "frac_coords": [[0.000, 0.000, 0.000], [0.500, 0.500, 0.289], [0.000, 0.000, 0.536], [0.500, 0.500, 0.789]]}

***

What did we get for energy of formation from the pure elements? Answer: -0.377 -0.135 eV per atom, in the order shown.